#i
# Hg2SeCl2 | Alexandria | PBE | relaxed
# Fermi-level density of states (states/eV per cell): 0.0
data_Hg2SeCl2
_chemical_formula_sum 'Hg8 Se4 Cl8'
_cell_length_a 9.977
_cell_length_b 7.680
_cell_length_c 8.641
_cell_angle_alpha 90.00
_cell_angle_beta 101.42
_cell_angle_gamma 90.00
_symmetry_space_group_name_H-M 'P 1 21/c 1'
_symmetry_Int_Tables_number 14
loop_
_symmetry_equiv_pos_as_xyz
'x,y,z'
'-x,-y,-z'
'-x,y+1/2,-z+1/2'
'x,-y+1/2,z+1/2'
loop_
_atom_site_label
_atom_site_type_symbol
_atom_site_fract_x
_atom_site_fract_y
_atom_site_fract_z
Hg1 Hg 0.002 0.133 0.298
Hg2 Hg 0.329 0.622 0.907
Se1 Se 0.140 0.592 0.667
Cl1 Cl 0.175 0.108 0.592
Cl2 Cl 0.495 0.206 0.378

=====

#ii
First-principles (PBE) data for a relaxed structure of Hg2SeCl2, as listed in Alexandria.

Cell and atoms, written as CIF:
```
data_Hg2SeCl2
_chemical_formula_sum 'Hg8 Se4 Cl8'
_cell_length_a 10.474
_cell_length_b 7.918
_cell_length_c 7.686
_cell_angle_alpha 90.00
_cell_angle_beta 102.11
_cell_angle_gamma 90.00
_symmetry_space_group_name_H-M 'P 1 21/c 1'
_symmetry_Int_Tables_number 14
loop_
_symmetry_equiv_pos_as_xyz
'x,y,z'
'-x,-y,-z'
'-x,y+1/2,-z+1/2'
'x,-y+1/2,z+1/2'
loop_
_atom_site_label
_atom_site_type_symbol
_atom_site_fract_x
_atom_site_fract_y
_atom_site_fract_z
Hg1 Hg 0.166 0.128 0.164
Hg2 Hg 0.301 0.679 0.103
Se1 Se 0.351 0.562 0.812
Cl1 Cl 0.004 0.737 0.051
Cl2 Cl 0.298 0.079 0.823
```

=====

On energetic grounds, #i is preferred over the next structure by 1.6 kJ/mol of atoms.

=====

#i
# SiHg3Cl | Alexandria | PBE | relaxed
# Fermi-level density of states (states/eV per cell): 0.9
data_SiHg3Cl
_chemical_formula_sum 'Si1 Hg3 Cl1'
_cell_length_a 5.168
_cell_length_b 5.168
_cell_length_c 5.168
_cell_angle_alpha 90.00
_cell_angle_beta 90.00
_cell_angle_gamma 90.00
_symmetry_space_group_name_H-M 'P m -3 m'
_symmetry_Int_Tables_number 221
_symmetry_space_group_name_Hall '-P 4 2 3'
loop_
_atom_site_label
_atom_site_type_symbol
_atom_site_fract_x
_atom_site_fract_y
_atom_site_fract_z
Si1 Si 0.000 0.000 0.000
Hg1 Hg 0.000 0.000 0.500
Cl1 Cl 0.500 0.500 0.500

=====

#ii
# SiHg3Cl | Alexandria | PBE | relaxed
# Fermi-level density of states (states/eV per cell): 2.6
data_SiHg3Cl
_chemical_formula_sum 'Si1 Hg3 Cl1'
_cell_length_a 5.597
_cell_length_b 5.597
_cell_length_c 5.597
_cell_angle_alpha 90.00
_cell_angle_beta 90.00
_cell_angle_gamma 90.00
_symmetry_space_group_name_H-M 'P m -3 m'
_symmetry_Int_Tables_number 221
_symmetry_space_group_name_Hall '-P 4 2 3'
loop_
_atom_site_label
_atom_site_type_symbol
_atom_site_fract_x
_atom_site_fract_y
_atom_site_fract_z
Si1 Si 0.000 0.000 0.000
Hg1 Hg 0.000 0.500 0.500
Cl1 Cl 0.500 0.500 0.500

=====

On energetic grounds, #i is preferred over the next structure by 86.1 kJ/mol of atoms.

=====

#i
# Si2HgCl | Alexandria | PBE | relaxed
# Fermi-level density of states (states/eV per cell): 3.0
data_Si2HgCl
_chemical_formula_sum 'Si4 Hg2 Cl2'
_cell_length_a 12.431
_cell_length_b 2.959
_cell_length_c 4.881
_cell_angle_alpha 90.00
_cell_angle_beta 110.15
_cell_angle_gamma 90.00
_symmetry_space_group_name_H-M 'C 1 m 1'
_symmetry_Int_Tables_number 8
loop_
_symmetry_equiv_pos_as_xyz
'x,y,z'
'x,-y,z'
'x+1/2,y+1/2,z'
'x+1/2,-y+1/2,z'
loop_
_atom_site_label
_atom_site_type_symbol
_atom_site_fract_x
_atom_site_fract_y
_atom_site_fract_z
Si1 Si 0.000 0.000 0.000
Si2 Si 0.180 0.500 0.107
Hg1 Hg 0.415 0.000 0.423
Cl1 Cl 0.200 0.000 0.731

=====

#ii
# Si2HgCl | Alexandria | PBE | relaxed
# Fermi-level density of states (states/eV per cell): 1.1
data_Si2HgCl
_chemical_formula_sum 'Si2 Hg1 Cl1'
_cell_length_a 3.902
_cell_length_b 4.724
_cell_length_c 5.004
_cell_angle_alpha 90.00
_cell_angle_beta 92.96
_cell_angle_gamma 90.00
_symmetry_space_group_name_H-M 'P 1 2/m 1'
_symmetry_Int_Tables_number 10
loop_
_symmetry_equiv_pos_as_xyz
'x,y,z'
'-x,-y,-z'
'-x,y,-z'
'x,-y,z'
loop_
_atom_site_label
_atom_site_type_symbol
_atom_site_fract_x
_atom_site_fract_y
_atom_site_fract_z
Si1 Si 0.248 0.000 0.153
Hg1 Hg 0.500 0.500 0.000
Cl1 Cl 0.000 0.500 0.500

=====

#iii
# Si2HgCl | Alexandria | PBE | relaxed
# Fermi-level density of states (states/eV per cell): 2.1
data_Si2HgCl
_chemical_formula_sum 'Si4 Hg2 Cl2'
_cell_length_a 3.458
_cell_length_b 5.136
_cell_length_c 9.580
_cell_angle_alpha 90.00
_cell_angle_beta 90.00
_cell_angle_gamma 90.00
_symmetry_space_group_name_H-M 'C m m 2'
_symmetry_Int_Tables_number 35
loop_
_symmetry_equiv_pos_as_xyz
'x,y,z'
'-x,-y,z'
'-x,y,z'
'x,-y,z'
'x+1/2,y+1/2,z'
'-x+1/2,-y+1/2,z'
'-x+1/2,y+1/2,z'
'x+1/2,-y+1/2,z'
loop_
_atom_site_label
_atom_site_type_symbol
_atom_site_fract_x
_atom_site_fract_y
_atom_site_fract_z
Si1 Si 0.000 0.000 0.000
Si2 Si 0.000 0.500 0.181
Hg1 Hg 0.000 0.000 0.465
Cl1 Cl 0.000 0.500 0.806

=====

#iv
# Si2HgCl | Alexandria | PBE | relaxed
# Fermi-level density of states (states/eV per cell): 1.0
data_Si2HgCl
_chemical_formula_sum 'Si2 Hg1 Cl1'
_cell_length_a 3.074
_cell_length_b 5.249
_cell_length_c 5.308
_cell_angle_alpha 90.00
_cell_angle_beta 95.65
_cell_angle_gamma 90.00
_symmetry_space_group_name_H-M 'P 1 m 1'
_symmetry_Int_Tables_number 6
loop_
_symmetry_equiv_pos_as_xyz
'x,y,z'
'x,-y,z'
loop_
_atom_site_label
_atom_site_type_symbol
_atom_site_fract_x
_atom_site_fract_y
_atom_site_fract_z
Si1 Si 0.000 0.000 0.000
Si2 Si 0.172 0.500 0.026
Hg1 Hg 0.317 0.500 0.519
Cl1 Cl 0.841 0.000 0.592

=====

On energetic grounds, #iv is preferred over the next structure by 8.0 kJ/mol of atoms.

=====

#i
# Si2HgCl | Alexandria | PBE | relaxed
# Fermi-level density of states (states/eV per cell): 1.3
data_Si2HgCl
_chemical_formula_sum 'Si2 Hg1 Cl1'
_cell_length_a 3.046
_cell_length_b 3.046
_cell_length_c 8.519
_cell_angle_alpha 90.00
_cell_angle_beta 90.00
_cell_angle_gamma 90.00
_symmetry_space_group_name_H-M 'P 4/m m m'
_symmetry_Int_Tables_number 123
_symmetry_space_group_name_Hall '-P 4 2'
loop_
_atom_site_label
_atom_site_type_symbol
_atom_site_fract_x
_atom_site_fract_y
_atom_site_fract_z
Si1 Si 0.000 0.000 0.244
Hg1 Hg 0.500 0.500 0.500
Cl1 Cl 0.500 0.500 0.000

=====

#ii
# Si2HgCl | Alexandria | PBE | relaxed
# Fermi-level density of states (states/eV per cell): 1.5
data_Si2HgCl
_chemical_formula_sum 'Si2 Hg1 Cl1'
_cell_length_a 2.886
_cell_length_b 5.029
_cell_length_c 5.571
_cell_angle_alpha 90.00
_cell_angle_beta 90.00
_cell_angle_gamma 90.00
_symmetry_space_group_name_H-M 'P m m m'
_symmetry_Int_Tables_number 47
loop_
_symmetry_equiv_pos_as_xyz
'x,y,z'
'-x,-y,-z'
'-x,-y,z'
'x,y,-z'
'x,-y,-z'
'-x,y,z'
'-x,y,-z'
'x,-y,z'
loop_
_atom_site_label
_atom_site_type_symbol
_atom_site_fract_x
_atom_site_fract_y
_atom_site_fract_z
Si1 Si 0.000 0.000 0.241
Hg1 Hg 0.500 0.500 0.000
Cl1 Cl 0.500 0.500 0.500

=====

#iii
# Si2HgCl | Alexandria | PBE | relaxed
# Fermi-level density of states (states/eV per cell): 9.4
data_Si2HgCl
_chemical_formula_sum 'Si8 Hg4 Cl4'
_cell_length_a 5.760
_cell_length_b 5.760
_cell_length_c 13.130
_cell_angle_alpha 90.00
_cell_angle_beta 90.00
_cell_angle_gamma 90.00
_symmetry_space_group_name_H-M 'I -4 2 d'
_symmetry_Int_Tables_number 122
_symmetry_space_group_name_Hall 'I -4 2bw'
loop_
_atom_site_label
_atom_site_type_symbol
_atom_site_fract_x
_atom_site_fract_y
_atom_site_fract_z
Si1 Si 0.229 0.250 0.125
Hg1 Hg 0.000 0.000 0.000
Cl1 Cl 0.000 0.000 0.500

=====

On energetic grounds, #ii is preferred over the next structure by 1.6 kJ/mol of atoms.

=====

#i
# Si2HgCl | Alexandria | PBE | relaxed
# Fermi-level density of states (states/eV per cell): 1.7
data_Si2HgCl
_chemical_formula_sum 'Si2 Hg1 Cl1'
_cell_length_a 3.133
_cell_length_b 4.795
_cell_length_c 5.279
_cell_angle_alpha 90.00
_cell_angle_beta 90.00
_cell_angle_gamma 90.00
_symmetry_space_group_name_H-M 'P m m m'
_symmetry_Int_Tables_number 47
loop_
_symmetry_equiv_pos_as_xyz
'x,y,z'
'-x,-y,-z'
'-x,-y,z'
'x,y,-z'
'x,-y,-z'
'-x,y,z'
'-x,y,-z'
'x,-y,z'
loop_
_atom_site_label
_atom_site_type_symbol
_atom_site_fract_x
_atom_site_fract_y
_atom_site_fract_z
Si1 Si 0.000 0.000 0.000
Si2 Si 0.500 0.000 0.500
Hg1 Hg 0.000 0.500 0.500
Cl1 Cl 0.500 0.500 0.000

=====

#ii
# Si2HgCl | Alexandria | PBE | relaxed
# Fermi-level density of states (states/eV per cell): 2.5
data_Si2HgCl
_chemical_formula_sum 'Si4 Hg2 Cl2'
_cell_length_a 3.064
_cell_length_b 5.333
_cell_length_c 9.567
_cell_angle_alpha 90.00
_cell_angle_beta 90.00
_cell_angle_gamma 90.00
_symmetry_space_group_name_H-M 'C m m m'
_symmetry_Int_Tables_number 65
_symmetry_space_group_name_Hall '-C 2 2'
loop_
_atom_site_label
_atom_site_type_symbol
_atom_site_fract_x
_atom_site_fract_y
_atom_site_fract_z
Si1 Si 0.000 0.000 0.228
Hg1 Hg 0.000 0.500 0.500
Cl1 Cl 0.000 0.500 0.000

=====

#iii
# Si2HgCl | Alexandria | PBE | relaxed
# Fermi-level density of states (states/eV per cell): 1.9
data_Si2HgCl
_chemical_formula_sum 'Si2 Hg1 Cl1'
_cell_length_a 3.494
_cell_length_b 3.494
_cell_length_c 7.768
_cell_angle_alpha 90.00
_cell_angle_beta 90.00
_cell_angle_gamma 90.00
_symmetry_space_group_name_H-M 'P 4 m m'
_symmetry_Int_Tables_number 99
loop_
_symmetry_equiv_pos_as_xyz
'x,y,z'
'-y,x,z'
'-x,-y,z'
'y,-x,z'
'-x,y,z'
'y,x,z'
'x,-y,z'
'-y,-x,z'
loop_
_atom_site_label
_atom_site_type_symbol
_atom_site_fract_x
_atom_site_fract_y
_atom_site_fract_z
Si1 Si 0.000 0.000 0.000
Si2 Si 0.500 0.500 0.057
Hg1 Hg 0.000 0.000 0.660
Cl1 Cl 0.500 0.500 0.337

=====

#iv
# Si2HgCl | Alexandria | PBE | relaxed
# Fermi-level density of states (states/eV per cell): 4.0
data_Si2HgCl
_chemical_formula_sum 'Si4 Hg2 Cl2'
_cell_length_a 4.825
_cell_length_b 4.825
_cell_length_c 6.781
_cell_angle_alpha 90.00
_cell_angle_beta 90.00
_cell_angle_gamma 90.00
_symmetry_space_group_name_H-M 'I -4 m 2'
_symmetry_Int_Tables_number 119
_symmetry_space_group_name_Hall 'I -4 -2'
loop_
_atom_site_label
_atom_site_type_symbol
_atom_site_fract_x
_atom_site_fract_y
_atom_site_fract_z
Si1 Si 0.000 0.000 0.000
Si2 Si 0.000 0.500 0.250
Hg1 Hg 0.000 0.500 0.750
Cl1 Cl 0.000 0.000 0.500

=====

On energetic grounds, #iii is preferred over the next structure by 39.2 kJ/mol of atoms.

=====

#i
# Si2HgCl | Alexandria | PBE | relaxed
# Fermi-level density of states (states/eV per cell): 2.5
data_Si2HgCl
_chemical_formula_sum 'Si6 Hg3 Cl3'
_cell_length_a 3.0416
_cell_length_b 3.0416
_cell_length_c 29.4110
_cell_angle_alpha 90.00
_cell_angle_beta 90.00
_cell_angle_gamma 120.00
_symmetry_space_group_name_H-M 'R -3 m'
_symmetry_Int_Tables_number 166
_symmetry_space_group_name_Hall '-R 3 2"'
loop_
_atom_site_label
_atom_site_type_symbol
_atom_site_fract_x
_atom_site_fract_y
_atom_site_fract_z
Si1 Si 0.0000 0.0000 0.2417
Hg1 Hg 0.0000 0.0000 0.0000
Cl1 Cl 0.0000 0.0000 0.5000

=====

#ii
# Si2HgCl | Alexandria | PBE | relaxed
# Fermi-level density of states (states/eV per cell): 2.8
data_Si2HgCl
_chemical_formula_sum 'Si4 Hg2 Cl2'
_cell_length_a 5.607
_cell_length_b 10.056
_cell_length_c 2.886
_cell_angle_alpha 90.00
_cell_angle_beta 90.00
_cell_angle_gamma 90.00
_symmetry_space_group_name_H-M 'C m m m'
_symmetry_Int_Tables_number 65
_symmetry_space_group_name_Hall '-C 2 2'
loop_
_atom_site_label
_atom_site_type_symbol
_atom_site_fract_x
_atom_site_fract_y
_atom_site_fract_z
Si1 Si 0.250 0.250 0.000
Hg1 Hg 0.000 0.000 0.500
Cl1 Cl 0.000 0.500 0.500

=====

#iii
# Si2HgCl | Alexandria | PBE | relaxed
# Fermi-level density of states (states/eV per cell): 3.7
data_Si2HgCl
_chemical_formula_sum 'Si4 Hg2 Cl2'
_cell_length_a 4.384
_cell_length_b 4.384
_cell_length_c 8.420
_cell_angle_alpha 90.00
_cell_angle_beta 90.00
_cell_angle_gamma 90.00
_symmetry_space_group_name_H-M 'I 4/m m m'
_symmetry_Int_Tables_number 139
_symmetry_space_group_name_Hall '-I 4 2'
loop_
_atom_site_label
_atom_site_type_symbol
_atom_site_fract_x
_atom_site_fract_y
_atom_site_fract_z
Si1 Si 0.000 0.500 0.250
Hg1 Hg 0.000 0.000 0.000
Cl1 Cl 0.000 0.000 0.500

=====

#iv
# Si2HgCl | Alexandria | PBE | relaxed
# Fermi-level density of states (states/eV per cell): 12.6
data_Si2HgCl
_chemical_formula_sum 'Si8 Hg4 Cl4'
_cell_length_a 6.777
_cell_length_b 6.777
_cell_length_c 6.777
_cell_angle_alpha 90.00
_cell_angle_beta 90.00
_cell_angle_gamma 90.00
_symmetry_space_group_name_H-M 'F m -3 m'
_symmetry_Int_Tables_number 225
_symmetry_space_group_name_Hall '-F 4 2 3'
loop_
_atom_site_label
_atom_site_type_symbol
_atom_site_fract_x
_atom_site_fract_y
_atom_site_fract_z
Si1 Si 0.250 0.250 0.250
Hg1 Hg 0.000 0.000 0.000
Cl1 Cl 0.000 0.000 0.500

=====

On energetic grounds, #i is preferred over the next structure by 9.5 kJ/mol of atoms.